[1]
The following is a DFT calculation (GGA-PBE) of a geometry-optimized PrSmGeCl structure.

Cell: 4.964 5.015 5.868 Å, 90.00 90.00 119.66°
Atoms (fractional coordinates):
Cl (0.838, 0.675, 0.500)
Sm (0.838, 0.675, 0.000)
Pr (0.168, 0.337, 0.500)
Ge (0.169, 0.338, 0.000)

## Properties
- Raw formation energy: -0.98 eV per atom
- Calculated volume: 31.74 Å³/atom
- Space group: Amm2



[2]
The following is a DFT calculation (GGA-PBE) of a geometry-optimized GaMoAs3 structure.

Cell: 4.925 4.925 4.925 Å, 90.00 90.00 90.00°
Atoms (fractional coordinates):
As (0.000, 0.000, 0.500)
As (0.500, 0.000, 0.000)
As (0.000, 0.500, 0.000)
Ga (0.500, 0.500, 0.500)
Mo (0.000, 0.000, 0.000)

## Properties
- Calculated volume: 23.90 Å³/atom
- Excess energy over the best structure of this formula in the dataset: 0.000 eV per atom
- Energy relative to the elements: 368.1 meV per atom
- Space group: Pm-3m



[3]
The following is a DFT calculation (GGA-PBE) of a geometry-optimized CdNiGe2 structure.

Cell: 3.984 3.984 5.925 Å, 70.35 70.35 60.00°
Atoms (fractional coordinates):
Ge (0.055, 0.055, 0.835)
Ge (0.283, 0.283, 0.151)
Ni (0.664, 0.664, 0.008)
Cd (0.498, 0.498, 0.505)

## Properties
- Calculated volume: 18.76 Å³/atom
- Energy relative to the elements: 14.6 meV per atom
- Space group: R3m



[4]
The following is a DFT calculation (GGA-PBE) of a geometry-optimized HfScRu structure.

Cell: 4.768 3.288 14.463 Å, 90.00 90.00 90.00°
Atoms (fractional coordinates):
Hf (0.500, 0.000, 0.804)
Hf (0.000, 0.000, 0.655)
Hf (0.000, 0.500, 0.155)
Hf (0.500, 0.500, 0.304)
Ru (0.500, 0.000, 0.452)
Ru (0.500, 0.500, 0.952)
Ru (0.000, 0.000, 0.297)
Ru (0.000, 0.500, 0.797)
Sc (0.500, 0.500, 0.602)
Sc (0.000, 0.000, 0.956)
Sc (0.000, 0.500, 0.456)
Sc (0.500, 0.000, 0.102)

## Properties
- Calculated volume: 18.90 Å³/atom
- Excess energy over the best structure of this formula in the dataset: 0.000 eV per atom
- Energy relative to the elements: -472.4 meV per atom
- Space group: Amm2



[5]
The following is a DFT calculation (GGA-PBE) of a geometry-optimized Hf2Zr3 structure.

Cell: 5.607 8.204 5.982 Å, 80.78 62.05 70.02°
Atoms (fractional coordinates):
Zr (0.521, 0.702, 0.561)
Zr (0.784, 0.298, 0.439)
Zr (0.332, 0.202, 0.939)
Zr (0.917, 0.000, 0.000)
Zr (0.473, 0.798, 0.061)
Zr (0.167, 0.500, 0.500)
Hf (0.070, 0.600, 0.038)
Hf (0.708, 0.400, 0.962)
Hf (0.920, 0.900, 0.538)
Hf (0.358, 0.100, 0.462)

## Properties
- Calculated volume: 22.84 Å³/atom
- Excess energy over the best structure of this formula in the dataset: 0.104 eV per atom
- Energy relative to the elements: 101.7 meV per atom
- Space group: Fdd2



[6]
The following is a DFT calculation (GGA-PBE) of a geometry-optimized ReSbCl2 structure.

Cell: 3.112 4.511 6.093 Å, 90.00 90.00 90.00°
Site moments in Bohr magnetons follow the coordinates.
Atoms (fractional coordinates):
Cl (0.000, 0.000, 0.491)  0.07
Cl (0.000, 0.000, 0.009)  0.07
Re (0.500, 0.500, 0.250)  3.02
Sb (0.500, 0.500, 0.750)  -0.02

## Properties
- Raw formation energy: 1.04 eV per atom
- Calculated volume: 21.38 Å³/atom
- Excess energy over the best structure of this formula in the dataset: 1.030 eV per atom
- Space group: Pmmm



[7]
The following is a DFT calculation (GGA-PBE) of a geometry-optimized AlCo2HAu structure.

Cell: 3.707 3.707 3.920 Å, 90.00 90.00 90.00°
Site moments in Bohr magnetons follow the coordinates.
Atoms (fractional coordinates):
Co (0.000, 0.500, 0.000)  0.71
Co (0.500, 0.000, 0.000)  0.71
Au (0.500, 0.500, 0.500)  0.01
Al (0.000, 0.000, 0.500)  -0.02
H (0.000, 0.000, 0.000)  -0.01

## Properties
- Calculated volume: 10.77 Å³/atom
- Energy: -4.99 eV per atom
- Space group: P4/mmm



[8]
The following is a DFT calculation (GGA-PBE) of a geometry-optimized CdAs2H structure.

Cell: 4.600 4.600 4.600 Å, 60.00 60.00 60.00°
Atoms (fractional coordinates):
H (0.000, 0.000, 0.000)
As (0.250, 0.250, 0.250)
As (0.750, 0.750, 0.750)
Cd (0.500, 0.500, 0.500)

## Properties
- Calculated volume: 17.21 Å³/atom
- Excess energy over the best structure of this formula in the dataset: 0.312 eV per atom
- Space group: Fm-3m



[9]
The following is a DFT calculation (GGA-PBE) of a geometry-optimized ErScN2 structure.

Cell: 3.274 3.274 5.971 Å, 74.09 74.09 60.00°
Atoms (fractional coordinates):
Sc (0.499, 0.499, 0.504)
Er (0.670, 0.670, 0.991)
N (0.085, 0.085, 0.746)
N (0.247, 0.247, 0.258)

## Properties
- Raw formation energy: -1.53 eV per atom
- Calculated volume: 13.14 Å³/atom
- Space group: R3m



[10]
The following is a DFT calculation (GGA-PBE) of a geometry-optimized Zr6AgMo structure.

Cell: 8.313 8.313 8.313 Å, 146.96 146.96 47.43°
Atoms (fractional coordinates):
Zr (0.745, 0.745, 0.000)
Zr (0.887, 0.387, 0.500)
Zr (0.613, 0.113, 0.500)
Zr (0.255, 0.255, 0.000)
Zr (0.113, 0.613, 0.500)
Zr (0.387, 0.887, 0.500)
Mo (0.500, 0.500, 0.000)
Ag (0.000, 0.000, 0.000)

## Properties
- Calculated volume: 21.27 Å³/atom
- Energy relative to the elements: -5.3 meV per atom
- Space group: I4/mmm



[11]
The following is a DFT calculation (GGA-PBE) of a geometry-optimized SbPSe structure.

Cell: 6.007 4.120 7.250 Å, 90.00 113.95 90.00°
Atoms (fractional coordinates):
Sb (0.745, 0.000, 0.984)
Sb (0.745, 0.500, 0.484)
Se (0.088, 0.000, 0.423)
Se (0.088, 0.500, 0.923)
P (0.501, 0.000, 0.569)
P (0.501, 0.500, 0.069)

## Properties
- Raw formation energy: 0.10 eV per atom
- Calculated volume: 27.33 Å³/atom
- Excess energy over the best structure of this formula in the dataset: 0.113 eV per atom
- Space group: Cm



[12]
The following is a DFT calculation (GGA-PBE) of a geometry-optimized AcPuIO4 structure.

Cell: 8.664 8.664 6.883 Å, 77.95 77.95 43.78°
Site moments in Bohr magnetons follow the coordinates.
Atoms (fractional coordinates):
O (0.101, 0.521, 0.124)  0.07
O (0.361, 0.361, 0.463)  0.12
O (0.479, 0.899, 0.876)  0.07
O (0.899, 0.479, 0.876)  0.07
O (0.441, 0.441, 0.895)  0.13
O (0.521, 0.101, 0.124)  0.07
O (0.639, 0.639, 0.537)  0.12
O (0.559, 0.559, 0.105)  0.13
Ac (0.717, 0.717, 0.175)  0.01
Ac (0.283, 0.283, 0.825)  0.01
I (0.015, 0.015, 0.736)  0.15
I (0.985, 0.985, 0.264)  0.15
Pu (0.598, 0.598, 0.817)  -2.87
Pu (0.402, 0.402, 0.183)  -2.87

## Properties
- Raw formation energy: -2.49 eV per atom
- Calculated volume: 24.88 Å³/atom
- Space group: C2/m